Record 1
First-principles (PBE-GGA) data for an optimized crystal structure of Y2AlInO6, as listed in Alexandria.

a b c (Å): 5.2356 5.2356 4.9691
angles (deg): 90.00 90.00 90.00
Last column: nearest neighbours and their distance in Å.
Sites, in units of the cell vectors:
1 Y 0.0000 0.5000 0.0000  4 O 2.27
2 Y 0.5000 0.0000 0.0000  4 O 2.27
3 Al 0.0000 0.0000 0.6009  5 O 1.80-1.88
4 In 0.5000 0.5000 0.5699  5 O 2.05-2.12
5 O 0.0000 0.0000 0.2389  1 Al 1.80
6 O 0.2365 0.2365 0.7363  1 Al 1.88
7 O 0.2365 0.7635 0.7363  1 Al 1.88
8 O 0.5000 0.5000 0.1575  1 In 2.05
9 O 0.7635 0.2365 0.7363  1 Al 1.88
10 O 0.7635 0.7635 0.7363  1 Al 1.88

Crystal system ... tetragonal
D(E_F) ... 0.000 states/eV per atom
Total magnetization ... 0.0 μB per formula unit
ΔE_f (raw) ... -2.714 eV per atom

=====

Record 2
First-principles (PBE-GGA) data for an optimized crystal structure of AlZnInO4, as listed in Alexandria.

a b c (Å): 5.3299 5.3299 6.4281
angles (deg): 90.00 90.00 113.50
Last column: nearest neighbours and their distance in Å.
Sites, in units of the cell vectors:
1 Al 0.1500 0.8500 0.7500  4 O 1.76-1.83
2 Al 0.8500 0.1500 0.2500  4 O 1.76-1.83
3 Zn 0.1645 0.8355 0.2500  4 O 1.94-2.11
4 Zn 0.8355 0.1645 0.7500  4 O 1.94-2.11
5 In 0.5000 0.5000 0.0000  6 O 2.15-2.24
6 In 0.5000 0.5000 0.5000  6 O 2.15-2.24
7 O 0.2198 0.2502 0.2500  1 Al 1.83
8 O 0.2502 0.2198 0.7500  1 Al 1.83
9 O 0.2594 0.7406 0.5220  1 Al 1.76, 1 Zn 1.94
10 O 0.2594 0.7406 0.9780  1 Al 1.76, 1 Zn 1.94
11 O 0.7406 0.2594 0.0220  1 Al 1.76, 1 Zn 1.94
12 O 0.7406 0.2594 0.4780  1 Al 1.76, 1 Zn 1.94
13 O 0.7498 0.7802 0.2500  1 Al 1.83
14 O 0.7802 0.7498 0.7500  1 Al 1.83

Crystal system ... orthorhombic
Total magnetization ... 0.0 μB per formula unit
ΔE_f (raw) ... -1.993 eV per atom

=====

Record 3
First-principles (PBE-GGA) data for an optimized crystal structure of AlInOs3, as listed in Alexandria.

a b c (Å): 4.4741 4.4741 4.4741
angles (deg): 90.00 90.00 90.00
Last column: nearest neighbours and their distance in Å.
Sites, in units of the cell vectors:
1 Al 0.0000 0.0000 0.0000  6 Os 2.24
2 In 0.5000 0.5000 0.5000  12 Os 3.16
3 Os 0.0000 0.0000 0.5000  2 Al 2.24
4 Os 0.0000 0.5000 0.0000  2 Al 2.24
5 Os 0.5000 0.0000 0.0000  2 Al 2.24

Energy of formation from the pure elements ... 1.410 eV per atom
Crystal system ... cubic
Energy above the most stable polymorph in this dataset ... 0 meV per atom
D(E_F) ... 0.743 states/eV per atom
Total magnetization ... 1.6 μB per formula unit

=====

Record 4
First-principles (PBE-GGA) data for an optimized crystal structure of AlInOs, as listed in Alexandria.

a b c (Å): 4.2968 4.2968 3.2473
angles (deg): 90.00 90.00 120.00
Last column: nearest neighbours and their distance in Å.
Sites, in units of the cell vectors:
1 Al 0.0000 0.0000 0.0000  3 Os 2.48
2 In 0.6667 0.3333 0.5000  6 Al 2.96, 6 Os 2.96, 2 In 3.25
3 Os 0.3333 0.6667 0.0000  3 Al 2.48

Energy of formation from the pure elements ... 0.120 eV per atom
Crystal system ... hexagonal
D(E_F) ... 0.389 states/eV per atom
Total magnetization ... 0.0 μB per formula unit

=====

Record 5
First-principles (PBE-GGA) data for an optimized crystal structure of AlIn4Os, as listed in Alexandria.

a b c (Å): 5.7738 5.7738 5.7738
angles (deg): 60.00 60.00 60.00
Last column: nearest neighbours and their distance in Å.
Sites, in units of the cell vectors:
1 Al 0.0000 0.0000 0.0000  12 In 3.39, 4 Os 3.54
2 In 0.1263 0.6246 0.6246  6 In 2.88-2.90
3 In 0.6246 0.1263 0.6246  6 In 2.88-2.90
4 In 0.6246 0.6246 0.1263  6 In 2.88-2.90
5 In 0.6246 0.6246 0.6246  6 In 2.88-2.90
6 Os 0.2500 0.2500 0.2500  12 In 3.38, 4 Al 3.54

Energy of formation from the pure elements ... 0.908 eV per atom
Crystal system ... cubic
D(E_F) ... 0.720 states/eV per atom
Total magnetization ... 1.3 μB per formula unit

=====

Record 6
First-principles (PBE-GGA) data for an optimized crystal structure of AlIn3Os, as listed in Alexandria.

a b c (Å): 5.1910 5.1910 5.1910
angles (deg): 90.00 90.00 90.00
Last column: nearest neighbours and their distance in Å.
Sites, in units of the cell vectors:
1 Al 0.0000 0.0000 0.0000  12 In 3.67
2 In 0.0000 0.5000 0.5000  2 Os 2.60
3 In 0.5000 0.0000 0.5000  2 Os 2.60
4 In 0.5000 0.5000 0.0000  2 Os 2.60
5 Os 0.5000 0.5000 0.5000  6 In 2.60

Energy of formation from the pure elements ... 0.441 eV per atom
Crystal system ... cubic
Energy above the most stable polymorph in this dataset ... 0 meV per atom
D(E_F) ... 0.394 states/eV per atom
Total magnetization ... 0.0 μB per formula unit

=====

Record 7
First-principles (PBE-GGA) data for an optimized crystal structure of AlInOs4, as listed in Alexandria.

a b c (Å): 5.2048 5.2048 5.2048
angles (deg): 60.00 60.00 60.00
Last column: nearest neighbours and their distance in Å.
Sites, in units of the cell vectors:
1 Al 0.0000 0.0000 0.0000  12 Os 3.05, 4 In 3.19
2 In 0.7500 0.7500 0.7500  12 Os 3.05, 4 Al 3.19
3 Os 0.3748 0.3748 0.3748  6 Os 2.60-2.61
4 Os 0.3748 0.3748 0.8757  6 Os 2.60-2.61
5 Os 0.3748 0.8757 0.3748  6 Os 2.60-2.61
6 Os 0.8757 0.3748 0.3748  6 Os 2.60-2.61

Energy of formation from the pure elements ... 0.604 eV per atom
Crystal system ... cubic
D(E_F) ... 1.449 states/eV per atom
Total magnetization ... 0.0 μB per formula unit

=====

Record 8
First-principles (PBE-GGA) data for an optimized crystal structure of Al2InOs2, as listed in Alexandria.

a b c (Å): 7.1726 7.1726 3.1208
angles (deg): 90.00 90.00 90.00
Last column: nearest neighbours and their distance in Å.
Sites, in units of the cell vectors:
1 Al 0.1424 0.3576 0.0000  6 Os 2.62, 1 Al 2.89
2 Al 0.3576 0.8576 0.0000  6 Os 2.62, 1 Al 2.89
3 Al 0.6424 0.1424 0.0000  6 Os 2.62, 1 Al 2.89
4 Al 0.8576 0.6424 0.0000  6 Os 2.62, 1 Al 2.89
5 In 0.0000 0.0000 0.5000  4 Os 2.73
6 In 0.5000 0.5000 0.5000  4 Os 2.73
7 Os 0.1502 0.6502 0.5000  6 Al 2.62, 2 In 2.73
8 Os 0.3498 0.1502 0.5000  6 Al 2.62, 2 In 2.73
9 Os 0.6502 0.8498 0.5000  6 Al 2.62, 2 In 2.73
10 Os 0.8498 0.3498 0.5000  6 Al 2.62, 2 In 2.73

Energy of formation from the pure elements ... -0.074 eV per atom
Crystal system ... tetragonal
D(E_F) ... 0.496 states/eV per atom
Total magnetization ... 0.0 μB per formula unit

=====

Record 9
First-principles (PBE-GGA) data for an optimized crystal structure of Al4InOs, as listed in Alexandria.

a b c (Å): 5.1624 5.1624 5.1624
angles (deg): 60.00 60.00 60.00
Last column: nearest neighbours and their distance in Å.
Sites, in units of the cell vectors:
1 Al 0.3762 0.3762 0.3762  6 Al 2.56-2.61
2 Al 0.3762 0.3762 0.8715  6 Al 2.56-2.61
3 Al 0.3762 0.8715 0.3762  6 Al 2.56-2.61
4 Al 0.8715 0.3762 0.3762  6 Al 2.56-2.61
5 In 0.0000 0.0000 0.0000  12 Al 3.03, 4 Os 3.16
6 Os 0.7500 0.7500 0.7500  12 Al 3.02, 4 In 3.16

Energy of formation from the pure elements ... 0.263 eV per atom
Crystal system ... cubic
D(E_F) ... 0.512 states/eV per atom
Total magnetization ... 0.0 μB per formula unit

=====

Record 10
First-principles (PBE-GGA) data for an optimized crystal structure of AlIn3Os, as listed in Alexandria.

a b c (Å): 5.1462 5.1462 5.1462
angles (deg): 90.00 90.00 90.00
Last column: nearest neighbours and their distance in Å.
Sites, in units of the cell vectors:
1 Al 0.0000 0.0000 0.0000  6 In 2.57
2 In 0.0000 0.0000 0.5000  2 Al 2.57
3 In 0.0000 0.5000 0.0000  2 Al 2.57
4 In 0.5000 0.0000 0.0000  2 Al 2.57
5 Os 0.5000 0.5000 0.5000  12 In 3.64

Energy of formation from the pure elements ... 1.403 eV per atom
Crystal system ... cubic
Energy above the most stable polymorph in this dataset ... 962 meV per atom
D(E_F) ... 1.027 states/eV per atom
Total magnetization ... 2.4 μB per formula unit

=====

Record 11
First-principles (PBE-GGA) data for an optimized crystal structure of AlInOs, as listed in Alexandria.

a b c (Å): 4.3640 4.3640 4.3640
angles (deg): 60.00 60.00 60.00
Last column: nearest neighbours and their distance in Å.
Sites, in units of the cell vectors:
1 Al 0.0000 0.0000 0.0000  4 Os 2.67
2 In 0.5000 0.5000 0.5000  4 Os 2.67
3 Os 0.7500 0.7500 0.7500  4 In 2.67, 4 Al 2.67

Energy of formation from the pure elements ... 0.179 eV per atom
Crystal system ... cubic
D(E_F) ... 0.391 states/eV per atom
Total magnetization ... 0.0 μB per formula unit

=====

Record 12
First-principles (PBE-GGA) data for an optimized crystal structure of AlInOs, as listed in Alexandria.

a b c (Å): 5.1583 5.1583 5.1583
angles (deg): 142.94 142.94 53.42
Last column: nearest neighbours and their distance in Å.
Sites, in units of the cell vectors:
1 Al 0.0000 0.0000 0.0000  4 Os 2.59, 1 In 2.85
2 In 0.3096 0.3096 0.0000  5 Al 2.85-2.91, 5 Os 2.88-2.90
3 Os 0.6243 0.6243 0.0000  4 Al 2.59, 4 In 2.88

Energy of formation from the pure elements ... -0.032 eV per atom
Crystal system ... tetragonal
D(E_F) ... 0.030 states/eV per atom
Total magnetization ... 0.0 μB per formula unit

=====

Record 13
First-principles (PBE-GGA) data for an optimized crystal structure of AlInOs, as listed in Alexandria.

a b c (Å): 7.1799 6.9396 2.9272
angles (deg): 82.68 73.47 23.85
Last column: nearest neighbours and their distance in Å.
Sites, in units of the cell vectors:
1 Al 0.0000 0.0000 0.0000  2 Os 2.45
2 In 0.6914 0.6914 0.3086  2 Os 2.82, 4 In 2.93, 2 Al 3.04
3 Os 0.3627 0.3627 0.6373  2 Al 2.45

Energy of formation from the pure elements ... 0.392 eV per atom
Crystal system ... orthorhombic
D(E_F) ... 0.669 states/eV per atom
Total magnetization ... 0.0 μB per formula unit

=====

Record 14
First-principles (PBE-GGA) data for an optimized crystal structure of AlInOs3, as listed in Alexandria.

a b c (Å): 4.7973 4.7973 4.7973
angles (deg): 90.00 90.00 90.00
Last column: nearest neighbours and their distance in Å.
Sites, in units of the cell vectors:
1 Al 0.0000 0.0000 0.0000  12 Os 3.39
2 In 0.5000 0.5000 0.5000  6 Os 2.40
3 Os 0.0000 0.5000 0.5000  2 In 2.40
4 Os 0.5000 0.0000 0.5000  2 In 2.40
5 Os 0.5000 0.5000 0.0000  2 In 2.40

Energy of formation from the pure elements ... 2.742 eV per atom
Crystal system ... cubic
Energy above the most stable polymorph in this dataset ... 1332 meV per atom
D(E_F) ... 1.506 states/eV per atom
Total magnetization ... 2.2 μB per formula unit